No. 1
# Li7Mo4P9O32 (SCAN, PBEsol geometry)
data_Li7Mo4P9O32
_chemical_formula_sum 'Li14 Mo8 P18 O64'
_cell_length_a 13.782
_cell_length_b 13.782
_cell_length_c 6.478
_cell_angle_alpha 90.00
_cell_angle_beta 90.00
_cell_angle_gamma 90.00
_symmetry_space_group_name_H-M 'P -4 21 c'
_symmetry_Int_Tables_number 114
loop_
_symmetry_equiv_pos_as_xyz
'x,y,z'
'y,-x,-z'
'-x,-y,z'
'-y,x,-z'
'x+1/2,-y+1/2,-z+1/2'
'y+1/2,x+1/2,z+1/2'
'-x+1/2,y+1/2,-z+1/2'
'-y+1/2,-x+1/2,z+1/2'
loop_
_atom_site_label
_atom_site_fract_x
_atom_site_fract_y
_atom_site_fract_z
Li1 0.000 0.000 0.000
Li2 0.000 0.500 0.132
Li3 0.110 0.249 0.806
Mo1 0.120 0.799 0.619
P1 0.000 0.000 0.500
P2 0.065 0.309 0.385
P3 0.100 0.750 0.130
O1 0.012 0.270 0.177
O2 0.020 0.257 0.573
O3 0.059 0.418 0.388
O4 0.062 0.063 0.352
O5 0.098 0.810 0.934
O6 0.140 0.815 0.303
O7 0.150 0.652 0.114
O8 0.170 0.272 0.355
# Fermi-level density of states   0.0 states/eV/cell
# Raw formation energy   -2.361 eV per atom
# Calculated total energy   -572.0 eV per formula unit

No. 2
# LiMo2P3O12 (SCAN, PBEsol geometry)
data_LiMo2P3O12
_chemical_formula_sum 'Li4 Mo8 P12 O48'
_cell_length_a 8.895
_cell_length_b 9.062
_cell_length_c 12.248
_cell_angle_alpha 90.00
_cell_angle_beta 90.00
_cell_angle_gamma 90.00
_symmetry_space_group_name_H-M 'P b c m'
_symmetry_Int_Tables_number 57
loop_
_symmetry_equiv_pos_as_xyz
'x,y,z'
'-x,-y,-z'
'-x,-y,z+1/2'
'x,y,-z+1/2'
'x,-y+1/2,-z'
'-x,y+1/2,z'
'-x,y+1/2,-z+1/2'
'x,-y+1/2,z+1/2'
loop_
_atom_site_label
_atom_site_fract_x
_atom_site_fract_y
_atom_site_fract_z
Li1 0.135 0.207 0.250
Mo1 0.247 0.524 0.601
P1 0.032 0.250 0.000
P2 0.400 0.628 0.131
O1 0.059 0.638 0.565
O2 0.132 0.173 0.088
O3 0.210 0.516 0.750
O4 0.302 0.530 0.058
O5 0.343 0.578 0.250
O6 0.370 0.708 0.619
O7 0.433 0.101 0.123
# Offset from the most stable computed form   11.4 meV/atom
# Raw formation energy   -2.307 eV per atom
# Calculated total energy   -219.7 eV per formula unit

No. 3
# LiMo2P3O12 (SCAN, PBEsol geometry)
data_LiMo2P3O12
_chemical_formula_sum 'Li4 Mo8 P12 O48'
_cell_length_a 8.631
_cell_length_b 8.770
_cell_length_c 14.813
_cell_angle_alpha 90.00
_cell_angle_beta 124.90
_cell_angle_gamma 90.00
_symmetry_space_group_name_H-M 'P 1 21/c 1'
_symmetry_Int_Tables_number 14
loop_
_symmetry_equiv_pos_as_xyz
'x,y,z'
'-x,-y,-z'
'-x,y+1/2,-z+1/2'
'x,-y+1/2,z+1/2'
loop_
_atom_site_label
_atom_site_fract_x
_atom_site_fract_y
_atom_site_fract_z
Li1 0.025 0.224 0.320
Mo1 0.139 0.540 0.386
Mo2 0.370 0.531 0.119
P1 0.034 0.105 0.644
P2 0.251 0.616 0.647
P3 0.458 0.250 0.493
O1 0.010 0.238 0.181
O2 0.066 0.518 0.228
O3 0.089 0.591 0.663
O4 0.147 0.561 0.966
O5 0.184 0.572 0.530
O6 0.205 0.107 0.637
O7 0.265 0.169 0.924
O8 0.296 0.712 0.168
O9 0.381 0.637 0.436
O10 0.419 0.514 0.729
O11 0.453 0.139 0.571
O12 0.483 0.167 0.410
# Fermi-level density of states   13.8 states/eV/cell
# Offset from the most stable computed form   0.0 meV/atom
# Raw formation energy   -2.319 eV per atom
# Calculated total energy   -219.9 eV per formula unit

No. 4
# LiMoP2O8 (SCAN, PBEsol geometry)
data_LiMoP2O8
_chemical_formula_sum 'Li4 Mo4 P8 O32'
_cell_length_a 9.067
_cell_length_b 4.691
_cell_length_c 13.609
_cell_angle_alpha 90.00
_cell_angle_beta 95.43
_cell_angle_gamma 90.00
_symmetry_space_group_name_H-M 'C 1 2/c 1'
_symmetry_Int_Tables_number 15
loop_
_symmetry_equiv_pos_as_xyz
'x,y,z'
'-x,-y,-z'
'-x,y,-z+1/2'
'x,-y,z+1/2'
'x+1/2,y+1/2,z'
'-x+1/2,-y+1/2,-z'
'-x+1/2,y+1/2,-z+1/2'
'x+1/2,-y+1/2,z+1/2'
loop_
_atom_site_label
_atom_site_fract_x
_atom_site_fract_y
_atom_site_fract_z
Li1 0.000 0.083 0.250
Mo1 0.000 0.000 0.000
P1 0.161 0.478 0.880
O1 0.066 0.198 0.881
O2 0.103 0.329 0.463
O3 0.151 0.372 0.283
O4 0.178 0.110 0.081
# Fermi-level density of states   0.4 states/eV/cell
# Offset from the most stable computed form   65.2 meV/atom
# Raw formation energy   -2.296 eV per atom
# Calculated total energy   -135.5 eV per formula unit

No. 5
# Li3Mo2P5O18 (SCAN, PBEsol geometry)
data_Li3Mo2P5O18
_chemical_formula_sum 'Li6 Mo4 P10 O36'
_cell_length_a 6.528
_cell_length_b 9.405
_cell_length_c 10.527
_cell_angle_alpha 96.14
_cell_angle_beta 92.78
_cell_angle_gamma 92.15
_symmetry_space_group_name_H-M 'P -1'
_symmetry_Int_Tables_number 2
loop_
_symmetry_equiv_pos_as_xyz
'x,y,z'
'-x,-y,-z'
loop_
_atom_site_label
_atom_site_fract_x
_atom_site_fract_y
_atom_site_fract_z
Li1 0.024 0.242 0.088
Li2 0.379 0.802 0.839
Li3 0.464 0.106 0.354
Mo1 0.164 0.235 0.547
Mo2 0.273 0.643 0.091
P1 0.022 0.963 0.706
P2 0.222 0.413 0.855
P3 0.273 0.984 0.101
P4 0.317 0.414 0.319
P5 0.342 0.719 0.400
O1 0.035 0.347 0.917
O2 0.088 0.941 0.190
O3 0.117 0.839 0.760
O4 0.147 0.747 0.468
O5 0.155 0.086 0.398
O6 0.158 0.370 0.414
O7 0.171 0.068 0.650
O8 0.200 0.372 0.709
O9 0.204 0.102 0.026
O10 0.221 0.461 0.194
O11 0.230 0.577 0.896
O12 0.280 0.834 0.017
O13 0.312 0.745 0.260
O14 0.415 0.560 0.399
O15 0.424 0.359 0.912
O16 0.465 0.018 0.186
O17 0.475 0.191 0.535
O18 0.479 0.307 0.298
# Raw formation energy   -2.345 eV per atom
# Calculated total energy   -306.8 eV per formula unit

No. 6
# Li4MoP2O9 (SCAN, PBEsol geometry)
data_Li4MoP2O9
_chemical_formula_sum 'Li16 Mo4 P8 O36'
_cell_length_a 14.381
_cell_length_b 6.984
_cell_length_c 7.006
_cell_angle_alpha 90.00
_cell_angle_beta 90.68
_cell_angle_gamma 90.00
_symmetry_space_group_name_H-M 'C 1 2/m 1'
_symmetry_Int_Tables_number 12
loop_
_symmetry_equiv_pos_as_xyz
'x,y,z'
'-x,-y,-z'
'-x,y,-z'
'x,-y,z'
'x+1/2,y+1/2,z'
'-x+1/2,-y+1/2,-z'
'-x+1/2,y+1/2,-z'
'x+1/2,-y+1/2,z'
loop_
_atom_site_label
_atom_site_fract_x
_atom_site_fract_y
_atom_site_fract_z
Li1 0.000 0.236 0.000
Li2 0.097 0.000 0.231
Li3 0.127 0.500 0.690
Li4 0.250 0.250 0.500
Mo1 0.250 0.250 0.000
P1 0.099 0.500 0.244
P2 0.123 0.000 0.697
O1 0.006 0.500 0.748
O2 0.036 0.000 0.820
O3 0.118 0.000 0.482
O4 0.124 0.316 0.121
O5 0.157 0.500 0.429
O6 0.181 0.186 0.749
O7 0.235 0.000 0.100
# Fermi-level density of states   3.1 states/eV/cell
# Raw formation energy   -2.439 eV per atom
# Calculated total energy   -160.3 eV per formula unit

Q: What is the calculated total energy in the fourth record?
A: -135.5 eV per formula unit

What did the fourth record say?
# LiMoP2O8 (SCAN, PBEsol geometry)
data_LiMoP2O8
_chemical_formula_sum 'Li4 Mo4 P8 O32'
_cell_length_a 9.067
_cell_length_b 4.691
_cell_length_c 13.609
_cell_angle_alpha 90.00
_cell_angle_beta 95.43
_cell_angle_gamma 90.00
_symmetry_space_group_name_H-M 'C 1 2/c 1'
_symmetry_Int_Tables_number 15
loop_
_symmetry_equiv_pos_as_xyz
'x,y,z'
'-x,-y,-z'
'-x,y,-z+1/2'
'x,-y,z+1/2'
'x+1/2,y+1/2,z'
'-x+1/2,-y+1/2,-z'
'-x+1/2,y+1/2,-z+1/2'
'x+1/2,-y+1/2,z+1/2'
loop_
_atom_site_label
_atom_site_fract_x
_atom_site_fract_y
_atom_site_fract_z
Li1 0.000 0.083 0.250
Mo1 0.000 0.000 0.000
P1 0.161 0.478 0.880
O1 0.066 0.198 0.881
O2 0.103 0.329 0.463
O3 0.151 0.372 0.283
O4 0.178 0.110 0.081
# Fermi-level density of states   0.4 states/eV/cell
# Offset from the most stable computed form   65.2 meV/atom
# Raw formation energy   -2.296 eV per atom
# Calculated total energy   -135.5 eV per formula unit

Q: The highest raw formation energy belongs to which entry?
A: LiMoP2O8

Q: Among the records above, which one has the lowest raw formation energy?
A: Li4MoP2O9